12
Lattice="2.485 1.435 8.976 -2.485 1.435 8.976 0.000 -2.869 8.976" Properties=species:S:1:pos:R:3 comment="CsVS2O8 GGA+U optimized geometry" sg="No. 148" total_energy_ev_per_cell=-76.865 crystal_system=trigonal pbc="T T T"
Cs 0.000 0.000 0.000
V 0.000 0.000 13.464
S 0.000 0.000 6.188
S 0.000 0.000 20.739
O -1.623 -0.317 12.265
O -0.537 -1.564 14.662
O 0.000 0.000 7.652
O -1.086 1.247 14.662
O 1.086 -1.247 12.265
O 0.000 0.000 19.276
O 0.537 1.564 12.265
O 1.623 0.317 14.662